No. 1
# Sn4Ir2S

Crystalline Sn4Ir2S at its relaxed geometry (PBE-GGA, Alexandria).

space group	Fdd2
uncorrected formation energy	-169	meV per atom

Cell: 7.712 7.712 7.706 Å, 99.86 99.86 131.14°
Fractional coordinates of all 14 atoms:
Sn1 0.751 0.226 0.774
Sn2 0.226 0.751 0.274
Sn3 0.264 0.739 0.776
Sn4 0.739 0.264 0.276
Sn5 0.239 0.214 0.725
Sn6 0.702 0.727 0.226
Sn7 0.727 0.702 0.726
Sn8 0.214 0.239 0.225
Ir1 0.482 0.218 0.486
Ir2 0.747 0.983 0.015
Ir3 0.983 0.747 0.515
Ir4 0.218 0.482 0.986
S1 0.360 0.610 0.500
S2 0.610 0.360 0.000

---

No. 2
# Rb2TlIn7

Crystalline Rb2TlIn7 at its relaxed geometry (PBE-GGA, Alexandria).

space group	P-4m2
E_form	-10.6	kJ/mol of atoms

Cell: 5.104 5.104 12.698 Å, 90.00 90.00 90.00°
Fractional coordinates of all 10 atoms:
Rb1 0.500 0.000 0.749
Rb2 0.000 0.500 0.251
Tl1 0.500 0.500 0.000
In1 0.000 0.500 0.864
In2 0.500 0.000 0.367
In3 0.500 0.000 0.136
In4 0.000 0.500 0.633
In5 0.000 0.000 0.500
In6 0.000 0.000 0.000
In7 0.500 0.500 0.500

---

No. 3
# Ac8PmSm6

Crystalline Ac8PmSm6 at its relaxed geometry (PBE-GGA, Alexandria).

space group	R-3
E_form	22.9	kJ/mol of atoms

Cell: 9.238 9.238 9.238 Å, 66.50 66.50 66.50°
Fractional coordinates of all 15 atoms:
Ac1 0.179 0.588 0.862
Ac2 0.138 0.821 0.412
Ac3 0.412 0.138 0.821
Ac4 0.731 0.731 0.731
Ac5 0.269 0.269 0.269
Ac6 0.588 0.862 0.179
Ac7 0.862 0.179 0.588
Ac8 0.821 0.412 0.138
Pm1 0.000 0.000 0.000
Sm1 0.060 0.371 0.681
Sm2 0.319 0.940 0.629
Sm3 0.629 0.319 0.940
Sm4 0.371 0.681 0.060
Sm5 0.681 0.060 0.371
Sm6 0.940 0.629 0.319

---

No. 4
# MgZn2Ag2

Crystalline MgZn2Ag2 at its relaxed geometry (PBE-GGA, Alexandria).

space group	P4/mbm
energy above the lowest structure with this stoichiometry	52	meV/atom
E_form	-4.9	kJ/mol of atoms

Cell: 7.466 7.466 3.154 Å, 90.00 90.00 90.00°
Fractional coordinates of all 10 atoms:
Zn1 0.158 0.658 0.500
Zn2 0.658 0.842 0.500
Zn3 0.842 0.342 0.500
Zn4 0.342 0.158 0.500
Mg1 0.000 0.000 0.000
Mg2 0.500 0.500 0.000
Ag1 0.360 0.860 0.000
Ag2 0.860 0.640 0.000
Ag3 0.640 0.140 0.000
Ag4 0.140 0.360 0.000